Record 1
Below is a geometry-optimized Tl3In3Ga8 structure, with properties calculated at the PBE level.

Values from the calculation:
total DFT energy (no corrections): -2.80 eV/atom
SG: No. 71

Cell and atoms, written as extended XYZ:
```
14
Lattice="-1.3566 2.0537 3.7308 0.1385 -6.5249 6.3193 7.5875 0.9753 4.8994" Properties=species:S:1:pos:R:3 pbc="T T T"
Tl 3.1847 -1.7479 7.4748
Tl 5.9783 -4.0865 9.7779
Tl 0.3911 0.5907 5.1716
In 5.9897 -0.6335 5.2040
In 1.7363 -4.9160 6.0147
In -0.6783 1.0268 1.8654
Ga 2.6392 -4.9859 9.0588
Ga 3.7302 1.4901 5.8907
Ga 4.9132 -1.0552 10.3993
Ga 1.4562 -2.4406 4.5503
Ga 3.2791 -0.6053 4.2028
Ga -0.2770 -2.5447 6.6546
Ga 6.6464 -0.9512 8.2950
Ga 3.0903 -2.8906 10.7467
```

=====

Record 2
Below is a geometry-optimized Al2Ge2Cl structure, with properties calculated at the PBE level.

Values from the calculation:
total DFT energy (no corrections): -3.74 eV/atom
SG: No. 139
polymorph energy (0 for the lowest one): 0 meV per atom
uncorrected formation energy: -28 meV per atom

Cell and atoms, written as extended XYZ:
```
5
Lattice="-1.3068 2.6059 3.4856 -4.3432 -1.0122 -0.8715 -2.5202 -3.1493 4.3714" Properties=species:S:1:pos:R:3 pbc="T T T"
Cl 0.0000 0.0000 0.0000
Ge -2.7505 -0.1668 2.0553
Ge -5.4196 -1.3889 4.9302
Al -4.8442 -1.6824 2.4035
Al -3.3260 0.1267 4.5820
```

=====

Record 3
Below is a geometry-optimized LaPH2Pd structure, with properties calculated at the PBE level.

Values from the calculation:
total DFT energy (no corrections): -5.13 eV/atom
SG: No. 63
polymorph energy (0 for the lowest one): 0 meV per atom

Cell and atoms, written as extended XYZ:
```
10
Lattice="-0.8705 0.6694 -3.8170 -3.4015 -3.8220 2.1719 -4.3112 4.8821 1.8394" Properties=species:S:1:pos:R:3 pbc="T T T"
Pd -2.1556 2.4411 0.9197
Pd 0.0000 0.0000 0.0000
P -1.9607 1.1484 -1.4179
P -6.6225 0.5811 1.6123
La -3.2429 -0.7473 0.6085
La -5.3403 2.4769 -0.4141
H -4.9277 0.1283 -0.9201
H -3.6555 1.6012 1.1145
H -5.2983 3.4615 1.8154
H -3.2849 -1.7320 -1.6210
```

=====

Please write out number 2 again, unchanged.
Below is a geometry-optimized Al2Ge2Cl structure, with properties calculated at the PBE level.

Values from the calculation:
total DFT energy (no corrections): -3.74 eV/atom
SG: No. 139
polymorph energy (0 for the lowest one): 0 meV per atom
uncorrected formation energy: -28 meV per atom

Cell and atoms, written as extended XYZ:
```
5
Lattice="-1.3068 2.6059 3.4856 -4.3432 -1.0122 -0.8715 -2.5202 -3.1493 4.3714" Properties=species:S:1:pos:R:3 pbc="T T T"
Cl 0.0000 0.0000 0.0000
Ge -2.7505 -0.1668 2.0553
Ge -5.4196 -1.3889 4.9302
Al -4.8442 -1.6824 2.4035
Al -3.3260 0.1267 4.5820
```